Below is a relaxed structure of CaTb12Pm6, with properties calculated at the PBE level.

Lattice parameters (Å, degrees): 13.3421 13.3421 12.7657 90.00 90.00 120.00
Space group R-3m (No. 166, hexagonal axes)
One atom of each set of equivalent atoms:
Ca: 0.0000 0.0000 0.0000
Tb: 0.0000 0.2594 0.5000
Tb: 0.0917 0.1833 0.2669
Pm: 0.0370 0.5185 0.6175

Values from the calculation:
- total magnetic moment (μB/cell) = 0.0
- density (g/cm3) = 7.1
- ΔH_f (0 K) (meV/atom) = 197